VASP calculation (GGA-PBE) on a geometry-optimized LaH3Pt structure.

Lattice parameters (Å, degrees): 5.8800 5.8800 5.8800 55.54 55.54 55.54
With the nearest neighbours (Å) after each atom.
Atoms (fractional coordinates):
H: 0.5526 0.5532 0.0940  1 Pt 1.71
H: 0.0940 0.5526 0.5532  1 Pt 1.71
H: 0.5532 0.0940 0.5526  1 Pt 1.71
H: 0.0526 0.5940 0.0532  1 Pt 1.71
H: 0.0532 0.0526 0.5940  1 Pt 1.71
H: 0.5940 0.0532 0.0526  1 Pt 1.71
Pt: 0.7374 0.7374 0.7374  3 H 1.71
Pt: 0.2374 0.2374 0.2374  3 H 1.71
La: 0.0446 0.0446 0.0446  9 H 2.60-2.76, 1 Pt 2.87
La: 0.5446 0.5446 0.5446  9 H 2.60-2.76, 1 Pt 2.87

Values from the calculation:
Calculated total energy   -4.740 eV per atom
SG   R3m


VASP calculation (GGA-PBE) on a geometry-optimized Tb3Co2Hg structure.

Lattice parameters (Å, degrees): 3.8793 7.6997 9.2815 90.00 90.00 90.00
With the nearest neighbours (Å) after each atom.
Atoms (fractional coordinates):
Tb: 0.0000 0.8363 0.5757  6 Co 2.78-2.93
Tb: 0.5000 0.7134 0.2695  4 Co 2.88-3.08
Tb: 0.5000 0.1510 0.1317  3 Co 2.81-2.85, 4 Hg 3.09-3.13
Tb: 0.5000 0.2134 0.7305  4 Co 2.88-3.08
Tb: 0.0000 0.3363 0.4243  6 Co 2.78-2.93
Tb: 0.5000 0.6510 0.8683  3 Co 2.81-2.85, 4 Hg 3.09-3.13
Co: 0.0000 0.9863 0.3030  2 Co 2.31
Co: 0.0000 0.4863 0.6970  2 Co 2.31
Co: 0.5000 0.0516 0.4271  2 Co 2.31
Co: 0.5000 0.5516 0.5729  2 Co 2.31
Hg: 0.0000 0.9627 0.9240  7 Tb 3.09-3.38
Hg: 0.0000 0.4627 0.0760  7 Tb 3.09-3.38

Values from the calculation:
Calculated total energy   -4.963 eV per atom
SG   Pmc2_1


VASP calculation (GGA-PBE) on a geometry-optimized Pr2Sm2Y structure.

Lattice parameters (Å, degrees): 6.0148 6.0151 6.5085 117.52 117.52 90.00
With the nearest neighbours (Å) after each atom.
Atoms (fractional coordinates):
Y: 0.0000 0.0000 0.0000  2 Sm 3.49, 8 Pr 3.89
Pr: 0.7499 0.2499 0.4999  4 Sm 3.18
Pr: 0.2501 0.7501 0.5001  4 Sm 3.18
Sm: 0.6460 0.6460 0.2921  1 Sm 2.88, 4 Pr 3.18
Sm: 0.3540 0.3540 0.7079  1 Sm 2.88, 4 Pr 3.18

Values from the calculation:
Polymorph energy (0 for the lowest one)   407 meV/atom
Calculated total energy   -4.658 eV per atom
SG   I4/mmm


VASP calculation (GGA-PBE) on a geometry-optimized Cu2TeAs structure.

Lattice parameters (Å, degrees): 4.2625 4.2625 5.9712 69.36 69.36 50.49
With the nearest neighbours (Å) after each atom.
Atoms (fractional coordinates):
Te: 0.5327 0.5327 0.5696  3 Cu 2.56-2.76
As: 0.2343 0.2343 0.1340  5 Cu 2.40-2.66
Cu: 0.9820 0.9820 0.9946  3 As 2.40-2.53, 3 Cu 2.47-2.66
Cu: 0.7509 0.7509 0.8019  3 Cu 2.47-2.66, 3 Te 2.56-2.76, 2 As 2.66

Values from the calculation:
Polymorph energy (0 for the lowest one)   18 meV/atom
Calculated total energy   -3.920 eV per atom
SG   Cm


VASP calculation (GGA-PBE) on a geometry-optimized Pm2PrY2 structure.

Lattice parameters (Å, degrees): 8.8502 6.4730 6.4730 93.74 102.83 102.83
With the nearest neighbours (Å) after each atom.
Atoms (fractional coordinates):
Y: 0.1338 0.2530 0.0593  3 Pr 3.37-3.46, 5 Pm 3.40-3.77, 1 Y 3.51
Y: 0.6338 0.0593 0.2530  3 Pr 3.37-3.46, 5 Pm 3.40-3.77, 1 Y 3.51
Y: 0.8662 0.7470 0.9407  3 Pr 3.37-3.46, 5 Pm 3.40-3.77, 1 Y 3.51
Y: 0.3662 0.9407 0.7470  3 Pr 3.37-3.46, 5 Pm 3.40-3.77, 1 Y 3.51
Pm: 0.0000 0.5000 0.5000  2 Pm 3.24, 2 Pr 3.60
Pm: 0.0000 0.0000 0.5000  2 Pm 3.24, 2 Y 3.40
Pm: 0.5000 0.5000 0.5000  2 Pm 3.24, 2 Pr 3.60
Pm: 0.5000 0.5000 0.0000  2 Pm 3.24, 2 Y 3.40
Pr: 0.7500 0.1993 0.8007  6 Y 3.37-3.46, 4 Pm 3.60-3.63
Pr: 0.2500 0.8007 0.1993  6 Y 3.37-3.46, 4 Pm 3.60-3.63

Values from the calculation:
Polymorph energy (0 for the lowest one)   123 meV/atom
Calculated total energy   -5.214 eV per atom
SG   C2/c


VASP calculation (GGA-PBE) on a geometry-optimized Sr2TiIr structure.

Lattice parameters (Å, degrees): 5.2535 5.2535 5.2535 60.00 60.00 60.00
With the nearest neighbours (Å) after each atom.
Atoms (fractional coordinates):
Ir: 0.5000 0.5000 0.5000  8 Sr 3.22
Ti: 0.0000 0.0000 0.0000  8 Sr 3.22
Sr: 0.2500 0.2500 0.2500  4 Ir 3.22, 4 Ti 3.22
Sr: 0.7500 0.7500 0.7500  4 Ti 3.22, 4 Ir 3.22

Values from the calculation:
Polymorph energy (0 for the lowest one)   497 meV/atom
Calculated total energy   -4.351 eV per atom
SG   Fm-3m


Q: Among the records above, which one has the highest calculated total energy?
A: Cu2TeAs


Q: The highest calculated total energy belongs to which entry?
A: Cu2TeAs


Repeat the third record exactly.
VASP calculation (GGA-PBE) on a geometry-optimized Pr2Sm2Y structure.

Lattice parameters (Å, degrees): 6.0148 6.0151 6.5085 117.52 117.52 90.00
With the nearest neighbours (Å) after each atom.
Atoms (fractional coordinates):
Y: 0.0000 0.0000 0.0000  2 Sm 3.49, 8 Pr 3.89
Pr: 0.7499 0.2499 0.4999  4 Sm 3.18
Pr: 0.2501 0.7501 0.5001  4 Sm 3.18
Sm: 0.6460 0.6460 0.2921  1 Sm 2.88, 4 Pr 3.18
Sm: 0.3540 0.3540 0.7079  1 Sm 2.88, 4 Pr 3.18

Values from the calculation:
Polymorph energy (0 for the lowest one)   407 meV/atom
Calculated total energy   -4.658 eV per atom
SG   I4/mmm